1.
Material: Li3Ni3WSe8
Method: DFT, PBE
State: optimized geometry

Cell: 7.4842 7.4842 7.4842 Å, 58.10 58.10 58.10°
Element x y z (fractional)
Li: 0.0000 0.5000 0.5000
Li: 0.5000 0.0000 0.5000
Li: 0.5000 0.5000 0.0000
Ni: 0.0000 0.0000 0.5000
Ni: 0.0000 0.5000 0.0000
Ni: 0.5000 0.0000 0.0000
W: 0.5000 0.5000 0.5000
Se: 0.2329 0.7436 0.7436
Se: 0.2357 0.2357 0.2357
Se: 0.2564 0.2564 0.7671
Se: 0.2564 0.7671 0.2564
Se: 0.7436 0.2329 0.7436
Se: 0.7436 0.7436 0.2329
Se: 0.7643 0.7643 0.7643
Se: 0.7671 0.2564 0.2564

## Properties
**Uncorrected formation energy**: -0.44 eV/atom
**Magnetization**: 0.0 Bohr magnetons per cell
**SG**: R-3m (166)
**Volume**: 284 Å³ per cell
**Crystal system**: trigonal
**DOS at the Fermi energy**: 9.57 states/eV per cell

2.
Material: Sc8Cu2Pd
Method: DFT, PBE
State: optimized geometry

Cell: 7.8986 7.8986 7.6632 Å, 118.96 118.96 33.42°
Element x y z (fractional)
Sc: 0.0008 0.0008 0.1721
Sc: 0.1259 0.1259 0.6268
Sc: 0.3349 0.3349 0.6210
Sc: 0.3356 0.3356 0.0463
Sc: 0.6644 0.6644 0.9537
Sc: 0.6651 0.6651 0.3790
Sc: 0.8741 0.8741 0.3732
Sc: 0.9992 0.9992 0.8279
Cu: 0.2027 0.2027 0.2019
Cu: 0.7973 0.7973 0.7981
Pd: 0.5000 0.5000 0.5000

## Properties
**Calculated formation energy**: -160 meV/atom
**Excess energy over the best structure of this formula in the dataset**: 103 meV/atom
**Magnetization**: 0.0 Bohr magnetons per cell
**SG**: C2/m (12)
**Volume**: 227 Å³ per cell
**Crystal system**: monoclinic
**DOS at the Fermi energy**: 11.05 states/eV per cell

3.
Material: Ba2SrSmS4
Method: DFT, PBE
State: optimized geometry

Cell: 7.4642 4.2943 7.5835 Å, 90.00 109.02 90.00°
Element x y z (fractional)
Ba: 0.0000 0.0000 0.0000
Ba: 0.5000 0.5000 0.0000
Sr: 0.0000 0.5000 0.5000
Sm: 0.5000 0.0000 0.5000
S: 0.2532 0.0000 0.7245
S: 0.2695 0.5000 0.2801
S: 0.7305 0.5000 0.7199
S: 0.7468 0.0000 0.2755

## Properties
**Uncorrected formation energy**: -2.05 eV/atom
**Magnetization**: 0.0 Bohr magnetons per cell
**SG**: P2/m (10)
**Volume**: 230 Å³ per cell
**Crystal system**: monoclinic
**DOS at the Fermi energy**: 2.83 states/eV per cell